[1]
Here is an optimized crystal structure of Li4Zn2GaPb from the Open Quantum Materials Database. Energies are from PBE-GGA.

The electronic total energy comes out at -2.39 eV per atom. The crystal system is tetragonal.

Lattice parameters (Å, degrees): 4.496 4.496 6.416 90.00 90.00 90.00
Fractional positions:
Li 0.500 0.000 0.232
Li 0.500 0.500 0.000
Li 0.000 0.500 0.768
Li 0.000 0.000 0.500
Zn 0.000 0.500 0.222
Zn 0.500 0.000 0.778
Ga 0.000 0.000 0.000
Pb 0.500 0.500 0.500

[2]
Here is an optimized crystal structure of LiGa2Pd from the Open Quantum Materials Database. Energies are from PBE-GGA.

The electronic total energy comes out at -3.81 eV per atom. The crystal system is orthorhombic.

Lattice parameters (Å, degrees): 4.362 6.151 13.116 90.00 90.00 90.00
Fractional positions:
Ga 0.500 0.750 0.333
Ga 0.000 0.250 0.167
Ga 0.500 0.250 0.000
Ga 0.500 0.750 0.000
Ga 0.000 0.750 0.500
Ga 0.500 0.250 0.333
Ga 0.000 0.750 0.167
Ga 0.000 0.750 0.833
Ga 0.000 0.250 0.833
Ga 0.500 0.750 0.667
Ga 0.500 0.250 0.667
Ga 0.000 0.250 0.500
Li 0.500 0.000 0.167
Li 0.500 0.000 0.833
Li 0.000 0.500 0.333
Li 0.000 0.500 0.667
Li 0.500 0.000 0.500
Li 0.000 0.500 0.000
Pd 0.000 0.000 0.000
Pd 0.500 0.500 0.833
Pd 0.500 0.500 0.500
Pd 0.000 0.000 0.667
Pd 0.000 0.000 0.333
Pd 0.500 0.500 0.167

[3]
Here is an optimized crystal structure of LiGa2Pd from the Open Quantum Materials Database. Energies are from PBE-GGA.

The electronic total energy comes out at -3.81 eV per atom. The crystal system is orthorhombic.

Lattice parameters (Å, degrees): 6.217 4.345 8.694 90.00 90.00 90.00
Fractional positions:
Ga 0.500 0.750 0.125
Ga 0.000 0.250 0.375
Ga 0.500 0.250 0.875
Ga 0.500 0.750 0.625
Ga 0.000 0.750 0.125
Ga 0.000 0.750 0.625
Ga 0.500 0.250 0.375
Ga 0.000 0.250 0.875
Pd 0.750 0.250 0.625
Pd 0.250 0.750 0.875
Pd 0.250 0.750 0.375
Pd 0.750 0.250 0.125
Li 0.750 0.750 0.376
Li 0.250 0.250 0.124
Li 0.750 0.750 0.876
Li 0.250 0.250 0.624

[4]
Here is an optimized crystal structure of LiGaPd2 from the Open Quantum Materials Database. Energies are from PBE-GGA.

The electronic total energy comes out at -4.27 eV per atom. The crystal system is hexagonal.

Lattice parameters (Å, degrees): 4.295 4.295 7.733 90.00 90.00 120.00
Fractional positions:
Pd 0.667 0.333 0.920
Pd 0.333 0.667 0.420
Pd 0.333 0.667 0.080
Pd 0.667 0.333 0.580
Ga 0.667 0.333 0.250
Ga 0.333 0.667 0.750
Li 0.000 0.000 0.250
Li 0.000 0.000 0.750

[5]
Here is an optimized crystal structure of Li4Ga3Pd from the Open Quantum Materials Database. Energies are from PBE-GGA.

The electronic total energy comes out at -3.20 eV per atom. The crystal system is tetragonal.

Lattice parameters (Å, degrees): 4.304 4.304 6.217 90.00 90.00 90.00
Fractional positions:
Li 0.000 0.500 0.245
Li 0.500 0.500 0.000
Li 0.000 0.000 0.500
Li 0.500 0.000 0.755
Pd 0.000 0.000 0.000
Ga 0.500 0.500 0.500
Ga 0.000 0.500 0.760
Ga 0.500 0.000 0.240

[6]
Here is an optimized crystal structure of LiGaPd from the Open Quantum Materials Database. Energies are from PBE-GGA.

The electronic total energy comes out at -3.86 eV per atom. The crystal system is hexagonal.

Lattice parameters (Å, degrees): 6.546 6.546 3.924 90.00 90.00 120.00
Fractional positions:
Ga 0.000 0.254 0.000
Ga 0.254 0.000 0.000
Ga 0.746 0.746 0.000
Pd 0.000 0.000 0.500
Pd 0.333 0.667 0.000
Pd 0.667 0.333 0.000
Li 0.425 0.425 0.500
Li 0.000 0.575 0.500
Li 0.575 0.000 0.500

[7]
Here is an optimized crystal structure of LiGaPd from the Open Quantum Materials Database. Energies are from PBE-GGA.

The electronic total energy comes out at -3.57 eV per atom. The crystal system is cubic.

Lattice parameters (Å, degrees): 4.044 4.044 4.044 60.00 60.00 60.00
Fractional positions:
Ga 0.250 0.250 0.250
Li 0.000 0.000 0.000
Pd 0.750 0.750 0.750

[8]
Here is an optimized crystal structure of LiGaPd from the Open Quantum Materials Database. Energies are from PBE-GGA.

The electronic total energy comes out at -3.96 eV per atom. The crystal system is hexagonal.

Lattice parameters (Å, degrees): 7.072 7.072 3.035 90.00 90.00 120.00
Fractional positions:
Li 0.000 0.621 0.500
Li 0.621 0.000 0.500
Li 0.379 0.379 0.500
Ga 0.333 0.667 0.000
Ga 0.000 0.000 0.500
Ga 0.667 0.333 0.000
Pd 0.000 0.288 0.000
Pd 0.712 0.712 0.000
Pd 0.288 0.000 0.000

[9]
Here is an optimized crystal structure of LiGa2Pd from the Open Quantum Materials Database. Energies are from PBE-GGA.

The electronic total energy comes out at -3.75 eV per atom. The crystal system is tetragonal.

Lattice parameters (Å, degrees): 3.949 3.949 3.799 90.00 90.00 90.00
Fractional positions:
Li 0.000 0.000 0.000
Ga 0.000 0.500 0.500
Ga 0.500 0.000 0.500
Pd 0.500 0.500 0.000

[10]
Here is an optimized crystal structure of LiGaPd2 from the Open Quantum Materials Database. Energies are from PBE-GGA.

The electronic total energy comes out at -4.51 eV per atom. The crystal system is orthorhombic.

Lattice parameters (Å, degrees): 5.819 6.646 5.809 90.00 90.00 90.00
Fractional positions:
Li 0.499 0.750 0.499
Li 0.501 0.250 0.501
Li 0.999 0.250 0.001
Li 0.001 0.750 0.999
Ga 0.001 0.750 0.500
Ga 0.999 0.250 0.500
Ga 0.499 0.750 0.000
Ga 0.501 0.250 0.000
Pd 0.251 0.001 0.750
Pd 0.751 0.999 0.750
Pd 0.749 0.501 0.250
Pd 0.251 0.499 0.750
Pd 0.749 0.999 0.250
Pd 0.751 0.501 0.750
Pd 0.249 0.499 0.250
Pd 0.249 0.001 0.250

[11]
Here is an optimized crystal structure of LiGaPd from the Open Quantum Materials Database. Energies are from PBE-GGA.

The electronic total energy comes out at -3.94 eV per atom. The crystal system is hexagonal.

Lattice parameters (Å, degrees): 7.042 7.042 2.904 90.00 90.00 120.00
Fractional positions:
Li 0.704 0.704 0.000
Li 0.000 0.296 0.000
Li 0.296 0.000 0.000
Ga 0.000 0.000 0.500
Ga 0.333 0.667 0.000
Ga 0.667 0.333 0.000
Pd 0.000 0.631 0.500
Pd 0.369 0.369 0.500
Pd 0.631 0.000 0.500

[12]
Here is an optimized crystal structure of LiGaPd2 from the Open Quantum Materials Database. Energies are from PBE-GGA.

The electronic total energy comes out at -4.32 eV per atom. The crystal system is hexagonal.

Lattice parameters (Å, degrees): 4.299 4.299 7.801 90.00 90.00 120.00
Fractional positions:
Li 0.000 0.000 0.500
Li 0.000 0.000 0.000
Pd 0.667 0.333 0.082
Pd 0.333 0.667 0.582
Pd 0.333 0.667 0.918
Pd 0.667 0.333 0.418
Ga 0.333 0.667 0.250
Ga 0.667 0.333 0.750

[13]
Here is an optimized crystal structure of LiGa2Pd from the Open Quantum Materials Database. Energies are from PBE-GGA.

The electronic total energy comes out at -3.76 eV per atom. The crystal system is orthorhombic.

Lattice parameters (Å, degrees): 5.160 7.250 7.248 90.00 90.00 90.00
Fractional positions:
Li 0.114 0.250 0.532
Li 0.614 0.750 0.968
Li 0.886 0.750 0.468
Li 0.386 0.250 0.032
Ga 0.585 0.055 0.678
Ga 0.085 0.945 0.822
Ga 0.915 0.445 0.178
Ga 0.585 0.445 0.678
Ga 0.415 0.555 0.322
Ga 0.085 0.555 0.822
Ga 0.415 0.945 0.322
Ga 0.915 0.055 0.178
Pd 0.875 0.250 0.879
Pd 0.375 0.750 0.621
Pd 0.625 0.250 0.379
Pd 0.125 0.750 0.121

[14]
Here is an optimized crystal structure of LiGaPd2 from the Open Quantum Materials Database. Energies are from PBE-GGA.

The electronic total energy comes out at -4.35 eV per atom. The crystal system is hexagonal.

Lattice parameters (Å, degrees): 4.321 4.321 8.063 90.00 90.00 120.00
Fractional positions:
Pd 0.667 0.333 0.422
Pd 0.333 0.667 0.578
Pd 0.333 0.667 0.922
Pd 0.667 0.333 0.078
Li 0.667 0.333 0.750
Li 0.333 0.667 0.250
Ga 0.000 0.000 0.500
Ga 0.000 0.000 0.000

[15]
Here is an optimized crystal structure of LiGaPd2 from the Open Quantum Materials Database. Energies are from PBE-GGA.

The electronic total energy comes out at -4.51 eV per atom. The crystal system is tetragonal.

Lattice parameters (Å, degrees): 4.122 4.122 3.306 90.00 90.00 90.00
Fractional positions:
Pd 0.000 0.500 0.500
Pd 0.500 0.000 0.500
Ga 0.000 0.000 0.000
Li 0.500 0.500 0.000

[16]
Here is an optimized crystal structure of LiGaPd2 from the Open Quantum Materials Database. Energies are from PBE-GGA.

The electronic total energy comes out at -4.32 eV per atom. The crystal system is cubic.

Lattice parameters (Å, degrees): 4.350 4.350 4.350 60.00 60.00 60.00
Fractional positions:
Li 0.250 0.250 0.250
Ga 0.500 0.500 0.500
Pd 0.000 0.000 0.000
Pd 0.750 0.750 0.750

[17]
Here is an optimized crystal structure of LiGa2Pd from the Open Quantum Materials Database. Energies are from PBE-GGA.

The electronic total energy comes out at -3.75 eV per atom. The crystal system is tetragonal.

Lattice parameters (Å, degrees): 3.238 3.238 5.669 90.00 90.00 90.00
Fractional positions:
Pd 0.000 0.000 0.500
Li 0.000 0.000 0.000
Ga 0.500 0.500 0.751
Ga 0.500 0.500 0.249

[18]
Here is an optimized crystal structure of Li4Ga2PdPt from the Open Quantum Materials Database. Energies are from PBE-GGA.

The value obtained for the magnetic moment is 0.00 μB/f.u. The electronic total energy comes out at -3.72 eV per atom. The crystal system is tetragonal.

Lattice parameters (Å, degrees): 4.281 4.281 6.051 90.00 90.00 90.00
Fractional positions:
Pd 0.000 0.000 0.000
Li 0.000 0.500 0.250
Li 0.500 0.500 0.000
Li 0.500 0.000 0.750
Li 0.000 0.000 0.500
Pt 0.500 0.500 0.500
Ga 0.500 0.000 0.251
Ga 0.000 0.500 0.749

[19]
Here is an optimized crystal structure of Li2ScGa2Pd2Pt from the Open Quantum Materials Database. Energies are from PBE-GGA.

The value obtained for the magnetic moment is 0.01 μB/f.u. The electronic total energy comes out at -4.65 eV per atom. The crystal system is tetragonal.

Lattice parameters (Å, degrees): 4.368 4.368 6.411 90.00 90.00 90.00
Fractional positions:
Ga 0.500 0.500 0.500
Ga 0.000 0.000 0.000
Pd 0.000 0.500 0.736
Pd 0.500 0.000 0.264
Sc 0.000 0.000 0.500
Li 0.000 0.500 0.218
Li 0.500 0.000 0.782
Pt 0.500 0.500 0.000

[20]
Here is an optimized crystal structure of Li2Zn2GaPd2Pt from the Open Quantum Materials Database. Energies are from PBE-GGA.

The value obtained for the magnetic moment is 0.01 μB/f.u. The electronic total energy comes out at -3.73 eV per atom. The crystal system is tetragonal.

Lattice parameters (Å, degrees): 3.996 3.996 7.136 90.00 90.00 90.00
Fractional positions:
Zn 0.500 0.500 0.500
Zn 0.000 0.000 0.000
Pd 0.500 0.000 0.267
Pd 0.000 0.500 0.733
Ga 0.000 0.000 0.500
Li 0.000 0.500 0.244
Li 0.500 0.000 0.756
Pt 0.500 0.500 0.000

[21]
Here is an optimized crystal structure of Li2ZnGa2Pd2Pt from the Open Quantum Materials Database. Energies are from PBE-GGA.

The value obtained for the magnetic moment is 0.00 μB/f.u. The electronic total energy comes out at -4.00 eV per atom. The crystal system is tetragonal.

Lattice parameters (Å, degrees): 3.923 3.923 7.366 90.00 90.00 90.00
Fractional positions:
Ga 0.000 0.000 0.500
Ga 0.500 0.500 0.000
Pt 0.500 0.500 0.500
Pd 0.500 0.000 0.769
Pd 0.000 0.500 0.231
Li 0.000 0.500 0.748
Li 0.500 0.000 0.252
Zn 0.000 0.000 0.000

[22]
Here is an optimized crystal structure of Li2ZrGa2Pd2Pt from the Open Quantum Materials Database. Energies are from PBE-GGA.

The value obtained for the magnetic moment is 0.03 μB/f.u. The electronic total energy comes out at -4.85 eV per atom. The crystal system is tetragonal.

Lattice parameters (Å, degrees): 4.481 4.481 6.193 90.00 90.00 90.00
Fractional positions:
Li 0.500 0.000 0.793
Li 0.000 0.500 0.207
Pt 0.500 0.500 0.000
Pd 0.000 0.500 0.732
Pd 0.500 0.000 0.268
Ga 0.000 0.000 0.000
Ga 0.500 0.500 0.500
Zr 0.000 0.000 0.500

[23]
Here is an optimized crystal structure of LiScGa2Pd4 from the Open Quantum Materials Database. Energies are from PBE-GGA.

The value obtained for the magnetic moment is 0.00 μB/f.u. The electronic total energy comes out at -5.15 eV per atom. The crystal system is tetragonal.

Lattice parameters (Å, degrees): 4.488 4.488 6.049 90.00 90.00 90.00
Fractional positions:
Li 0.000 0.000 0.000
Pd 0.500 0.000 0.758
Pd 0.000 0.500 0.242
Pd 0.500 0.000 0.242
Pd 0.000 0.500 0.758
Ga 0.000 0.000 0.500
Ga 0.500 0.500 0.000
Sc 0.500 0.500 0.500